[1]
Computed, not measured: a geometry-optimized NiHg structure at the PBE level of DFT.

The structure in CIF format:
```
data_NiHg
_chemical_formula_sum 'Ni2 Hg2'
_cell_length_a 3.0104
_cell_length_b 3.0104
_cell_length_c 8.7697
_cell_angle_alpha 90.00
_cell_angle_beta 90.00
_cell_angle_gamma 120.00
_space_group_name_H-M_alt 'P -3 m 1'
_space_group_IT_number 164
_space_group_name_Hall '-P 3 2"'
loop_
_atom_site_label
_atom_site_type_symbol
_atom_site_fract_x
_atom_site_fract_y
_atom_site_fract_z
Ni1 Ni 0.3333 0.6667 0.4055
Hg1 Hg 0.3333 0.6667 0.8388
```

---

[2]
Computed, not measured: a geometry-optimized NiHg structure at the PBE level of DFT.

The structure in CIF format:
```
data_NiHg
_chemical_formula_sum 'Ni6 Hg6'
_cell_length_a 2.8726
_cell_length_b 11.7876
_cell_length_c 6.2109
_cell_angle_alpha 90.00
_cell_angle_beta 90.00
_cell_angle_gamma 90.00
_space_group_name_H-M_alt 'A m m 2'
_space_group_IT_number 38
loop_
_space_group_symop_operation_xyz
'x,y,z'
'-x,-y,z'
'-x,y,z'
'x,-y,z'
'x,y+1/2,z+1/2'
'-x,-y+1/2,z+1/2'
'-x,y+1/2,z+1/2'
'x,-y+1/2,z+1/2'
loop_
_atom_site_label
_atom_site_type_symbol
_atom_site_fract_x
_atom_site_fract_y
_atom_site_fract_z
Ni1 Ni 0.0000 0.0000 0.0000
Ni2 Ni 0.5000 0.1076 0.7574
Hg1 Hg 0.0000 0.0000 0.4254
Hg2 Hg 0.0000 0.2270 0.0572
```

---

[3]
# Ni3Hg2 PBE relaxed
data_Ni3Hg2
_chemical_formula_sum 'Ni9 Hg6'
_cell_length_a 2.9429
_cell_length_b 2.9429
_cell_length_c 30.9782
_cell_angle_alpha 90.00
_cell_angle_beta 90.00
_cell_angle_gamma 120.00
_space_group_name_H-M_alt 'R -3 m'
_space_group_IT_number 166
_space_group_name_Hall '-R 3 2"'
loop_
_atom_site_label
_atom_site_type_symbol
_atom_site_fract_x
_atom_site_fract_y
_atom_site_fract_z
Ni1 Ni 0.0000 0.0000 0.0000
Ni2 Ni 0.0000 0.0000 0.1943
Hg1 Hg 0.0000 0.0000 0.4021
# * ΔE to the lowest computed polymorph: 111 meV per atom

---

[4]
Computed, not measured: a geometry-optimized NiHg structure at the PBE level of DFT.

The structure in CIF format:
```
data_NiHg
_chemical_formula_sum 'Ni4 Hg4'
_cell_length_a 9.8266
_cell_length_b 2.9367
_cell_length_c 4.6258
_cell_angle_alpha 90.00
_cell_angle_beta 106.12
_cell_angle_gamma 90.00
_space_group_name_H-M_alt 'C 1 2/m 1'
_space_group_IT_number 12
loop_
_space_group_symop_operation_xyz
'x,y,z'
'-x,-y,-z'
'-x,y,-z'
'x,-y,z'
'x+1/2,y+1/2,z'
'-x+1/2,-y+1/2,-z'
'-x+1/2,y+1/2,-z'
'x+1/2,-y+1/2,z'
loop_
_atom_site_label
_atom_site_type_symbol
_atom_site_fract_x
_atom_site_fract_y
_atom_site_fract_z
Ni1 Ni 0.1483 0.0000 0.3478
Hg1 Hg 0.1070 0.5000 0.8181
```

---

[5]
# NiHg3 PBE relaxed
data_NiHg3
_chemical_formula_sum 'Ni1 Hg3'
_cell_length_a 5.0970
_cell_length_b 5.0970
_cell_length_c 5.0970
_cell_angle_alpha 90.00
_cell_angle_beta 90.00
_cell_angle_gamma 90.00
_space_group_name_H-M_alt 'P m -3 m'
_space_group_IT_number 221
_space_group_name_Hall '-P 4 2 3'
loop_
_atom_site_label
_atom_site_type_symbol
_atom_site_fract_x
_atom_site_fract_y
_atom_site_fract_z
Ni1 Ni 0.0000 0.0000 0.0000
Hg1 Hg 0.0000 0.0000 0.5000
# * ΔE to the lowest computed polymorph: 19 meV per atom

---

[6]
Computed, not measured: a geometry-optimized Ni6Hg structure at the PBE level of DFT.

The structure in CIF format:
```
data_Ni6Hg
_chemical_formula_sum 'Ni12 Hg2'
_cell_length_a 6.2175
_cell_length_b 6.2175
_cell_length_c 6.2175
_cell_angle_alpha 90.00
_cell_angle_beta 90.00
_cell_angle_gamma 90.00
_space_group_name_H-M_alt 'I m -3 m'
_space_group_IT_number 229
_space_group_name_Hall '-I 4 2 3'
loop_
_atom_site_label
_atom_site_type_symbol
_atom_site_fract_x
_atom_site_fract_y
_atom_site_fract_z
Ni1 Ni 0.0000 0.2500 0.5000
Hg1 Hg 0.0000 0.0000 0.0000
```

---

Values for density of states at the Fermi level, states/eV/cell, ordered as above
4.1 11.2 14.7 6.0 2.2 17.6
Values for calculated formation energy, eV per atom, ordered as above
0.3865 0.2222 0.3678 0.2521 0.1468 0.9402